No. 1
A plane-wave DFT calculation with GGA-PBE was carried out for a relaxed structure of Pm5Ho4Mg.

It has space group P4/mmm (No. 123), with a = 3.608 Å, b = 3.608 Å, c = 24.543 Å, α = 90.00°, β = 90.00° and γ = 90.00°. The distinct sites, in fractional coordinates, are Pm at (0.000, 0.000, 0.000), Pm at (0.000, 0.000, 0.205), Pm at (0.000, 0.000, 0.409), Ho at (0.500, 0.500, 0.103), Ho at (0.500, 0.500, 0.308) and Mg at (0.500, 0.500, 0.500).

As for the density: 7.3 g cm⁻³. Its formation energy is 0.00 eV/atom.



No. 2
A plane-wave DFT calculation with GGA-PBE was carried out for a relaxed structure of Zr5Cu.

It has space group F-43m (No. 216), with a = 8.157 Å, b = 8.157 Å, c = 8.157 Å, α = 90.00°, β = 90.00° and γ = 90.00°. The distinct sites, in fractional coordinates, are Zr at (0.000, 0.000, 0.000), Zr at (0.127, 0.127, 0.627) and Cu at (0.250, 0.250, 0.250).

As for the density: 6.4 g cm⁻³. Its formation energy is 0.45 eV/atom.



No. 3
A plane-wave DFT calculation with GGA-PBE was carried out for a relaxed structure of La6CdRu2.

It has space group C2/m (No. 12), with a = 10.664 Å, b = 5.307 Å, c = 9.445 Å, α = 90.00°, β = 98.76° and γ = 90.00°. The distinct sites, in fractional coordinates, are La at (0.074, 0.000, 0.352), La at (0.115, 0.500, 0.662), La at (0.196, 0.500, 0.117), Cd at (0.000, 0.000, 0.000) and Ru at (0.230, 0.500, 0.383).

As for the density: 7.2 g cm⁻³. Its formation energy is -0.25 eV/atom.



No. 4
A plane-wave DFT calculation with GGA-PBE was carried out for a relaxed structure of ZrAl5Cu7.

It has space group Imm2 (No. 44), with a = 4.975 Å, b = 8.510 Å, c = 8.574 Å, α = 90.00°, β = 90.00° and γ = 90.00°. The distinct sites, in fractional coordinates, are Zr at (0.000, 0.000, 0.000), Al at (0.000, 0.000, 0.349), Al at (0.000, 0.000, 0.661), Al at (0.000, 0.343, 0.007), Al at (0.000, 0.500, 0.696), Cu at (0.000, 0.275, 0.501), Cu at (0.000, 0.500, 0.291) and Cu at (0.249, 0.252, 0.754).

As for the density: 6.1 g cm⁻³. Its formation energy is -0.29 eV/atom.



No. 5
A plane-wave DFT calculation with GGA-PBE was carried out for a relaxed structure of LiAc2IrO5.

It has space group P4/mbm (No. 127), with a = 7.266 Å, b = 7.266 Å, c = 5.815 Å, α = 90.00°, β = 90.00° and γ = 90.00°. The distinct sites, in fractional coordinates, are Li at (0.000, 0.000, 0.000), Ac at (0.181, 0.319, 0.500), Ir at (0.000, 0.500, 0.000), O at (0.000, 0.000, 0.500) and O at (0.131, 0.631, 0.243).

As for the density: 7.9 g cm⁻³. For the formation energy from raw total energies, the calculation gives -2133.3 meV/atom.



No. 6
A plane-wave DFT calculation with GGA-PBE was carried out for a relaxed structure of CuPSO2.

It has space group P4/mmm (No. 123), with a = 3.468 Å, b = 3.468 Å, c = 4.868 Å, α = 90.00°, β = 90.00° and γ = 90.00°. The distinct sites, in fractional coordinates, are Cu at (0.000, 0.000, 0.000), P at (0.500, 0.500, 0.000), S at (0.500, 0.500, 0.500) and O at (0.000, 0.500, 0.500).

As for the density: 4.5 g cm⁻³. For the formation energy from raw total energies, the calculation gives 223.5 meV/atom.